--- a ---
Here is a geometry-optimized ScHgPd3 structure from Alexandria via LeMat-Bulk. Energies are from PBE.

Cell: 4.7893 4.7893 4.7893 Å, 90.00 90.00 90.00°
Positions (direct):
Sc1 0.0000 0.0000 0.0000
Hg1 0.5000 0.5000 0.5000
Pd1 0.0000 0.5000 0.0000
Pd2 0.0000 0.0000 0.5000
Pd3 0.5000 0.0000 0.0000

Properties
- D(E_F) (states/eV per atom) = 0.400
- crystal system = cubic

***

--- b ---
Here is a geometry-optimized ScHgPd3 structure from Alexandria via LeMat-Bulk. Energies are from PBE.

Cell: 4.9715 4.9715 4.9715 Å, 90.00 90.00 90.00°
Positions (direct):
Sc1 0.5000 0.5000 0.5000
Hg1 0.0000 0.0000 0.0000
Pd1 0.0000 0.5000 0.0000
Pd2 0.0000 0.0000 0.5000
Pd3 0.5000 0.0000 0.0000

Properties
- D(E_F) (states/eV per atom) = 0.926
- crystal system = cubic

***

Compare the structures above. Which one is the least stable? b is.